This record from the Alexandria database describes LaReCl2 after structural relaxation. The functional is GGA-PBE.

* total magnetic moment: 2.02 μB/f.u.
* density of states at the Fermi level: 2.4 states/eV/f.u.
* energy relative to the lowest polymorph listed for this composition: 343.2 meV per atom
* space-group type: C2/m (12)

```
data_LaReCl2
_cell_length_a 6.4092
_cell_length_b 9.1213
_cell_length_c 4.3066
_cell_angle_alpha 90.00
_cell_angle_beta 131.61
_cell_angle_gamma 90.00
_space_group_name_H-M_alt 'P 1'
_space_group_IT_number 1
_space_group_name_Hall 'P 1'
loop_
_atom_site_label
_atom_site_type_symbol
_atom_site_fract_x
_atom_site_fract_y
_atom_site_fract_z
_atom_site_occupancy
La1 La 0.0000 0.0000 0.0000 1
La2 La 0.5000 0.5000 0.0000 1
Re1 Re 0.0000 0.5000 0.0000 1
Re2 Re 0.5000 0.0000 0.0000 1
Cl1 Cl 0.2500 0.2500 0.5000 1
Cl2 Cl 0.2500 0.7500 0.5000 1
Cl3 Cl 0.7500 0.2500 0.5000 1
Cl4 Cl 0.7500 0.7500 0.5000 1
```